1.
DFT (meta-GGA SCAN) results for a crystal of HgP2AuCl relaxed with PBEsol.

- SG = P4/mmm, No. 123
- energy relative to the elements, uncorrected (kJ per mole of atoms) = 118.3
- E (eV/cell) = -160.0

Geometry as CIF:
```
data_HgP2AuCl
_cell_length_a 4.940
_cell_length_b 4.940
_cell_length_c 4.983
_cell_angle_alpha 90.00
_cell_angle_beta 90.00
_cell_angle_gamma 90.00
_symmetry_space_group_name_H-M 'P 1'
_symmetry_Int_Tables_number 1
loop_
_symmetry_equiv_pos_as_xyz
'x,y,z'
loop_
_atom_site_label
_atom_site_type_symbol
_atom_site_fract_x
_atom_site_fract_y
_atom_site_fract_z
_atom_site_occupancy
Hg1 Hg 0.000 0.000 0.000 1
Cl1 Cl 0.000 0.000 0.500 1
Au1 Au 0.500 0.500 0.500 1
P1 P 0.000 0.500 0.000 1
P2 P 0.500 0.000 0.000 1
```

=====

2.
DFT (meta-GGA SCAN) results for a crystal of HgAu2SCl relaxed with PBEsol.

- SG = P4/mmm, No. 123
- energy relative to the elements, uncorrected (kJ per mole of atoms) = 14.3
- E (eV/cell) = -223.3

Geometry as CIF:
```
data_HgAu2SCl
_cell_length_a 4.628
_cell_length_b 4.628
_cell_length_c 5.311
_cell_angle_alpha 90.00
_cell_angle_beta 90.00
_cell_angle_gamma 90.00
_symmetry_space_group_name_H-M 'P 1'
_symmetry_Int_Tables_number 1
loop_
_symmetry_equiv_pos_as_xyz
'x,y,z'
loop_
_atom_site_label
_atom_site_type_symbol
_atom_site_fract_x
_atom_site_fract_y
_atom_site_fract_z
_atom_site_occupancy
Au1 Au 0.500 0.000 0.000 1
S1 S 0.000 0.000 0.000 1
Cl1 Cl 0.500 0.500 0.500 1
Au2 Au 0.000 0.500 0.000 1
Hg1 Hg 0.000 0.000 0.500 1
```

=====

3.
DFT (meta-GGA SCAN) results for a crystal of HgWAuCl2 relaxed with PBEsol.

- SG = P4/mmm, No. 123
- energy relative to the elements, uncorrected (kJ per mole of atoms) = 21.0
- E (eV/cell) = -221.9

Geometry as CIF:
```
data_HgWAuCl2
_cell_length_a 4.539
_cell_length_b 4.539
_cell_length_c 5.428
_cell_angle_alpha 90.00
_cell_angle_beta 90.00
_cell_angle_gamma 90.00
_symmetry_space_group_name_H-M 'P 1'
_symmetry_Int_Tables_number 1
loop_
_symmetry_equiv_pos_as_xyz
'x,y,z'
loop_
_atom_site_label
_atom_site_type_symbol
_atom_site_fract_x
_atom_site_fract_y
_atom_site_fract_z
_atom_site_occupancy
W1 W 0.000 0.000 0.000 1
Cl1 Cl 0.500 0.000 0.000 1
Cl2 Cl 0.000 0.500 0.000 1
Hg1 Hg 0.500 0.500 0.500 1
Au1 Au 0.000 0.000 0.500 1
```

=====

4.
DFT (meta-GGA SCAN) results for a crystal of Zn2HgAuCl relaxed with PBEsol.

- SG = P4/mmm, No. 123
- energy relative to the elements, uncorrected (kJ per mole of atoms) = 65.2
- E (eV/cell) = -169.0

Geometry as CIF:
```
data_Zn2HgAuCl
_cell_length_a 4.614
_cell_length_b 4.614
_cell_length_c 5.658
_cell_angle_alpha 90.00
_cell_angle_beta 90.00
_cell_angle_gamma 90.00
_symmetry_space_group_name_H-M 'P 1'
_symmetry_Int_Tables_number 1
loop_
_symmetry_equiv_pos_as_xyz
'x,y,z'
loop_
_atom_site_label
_atom_site_type_symbol
_atom_site_fract_x
_atom_site_fract_y
_atom_site_fract_z
_atom_site_occupancy
Zn1 Zn 0.000 0.500 0.000 1
Hg1 Hg 0.000 0.000 0.500 1
Au1 Au 0.500 0.500 0.500 1
Cl1 Cl 0.000 0.000 0.000 1
Zn2 Zn 0.500 0.000 0.000 1
```

=====

5.
DFT (meta-GGA SCAN) results for a crystal of AuIN2Cl relaxed with PBEsol.

- SG = P4/mmm, No. 123
- energy relative to the elements, uncorrected (kJ per mole of atoms) = 141.8
- E (eV/cell) = -125.1

Geometry as CIF:
```
data_AuIN2Cl
_cell_length_a 3.977
_cell_length_b 3.977
_cell_length_c 7.552
_cell_angle_alpha 90.00
_cell_angle_beta 90.00
_cell_angle_gamma 90.00
_symmetry_space_group_name_H-M 'P 1'
_symmetry_Int_Tables_number 1
loop_
_symmetry_equiv_pos_as_xyz
'x,y,z'
loop_
_atom_site_label
_atom_site_type_symbol
_atom_site_fract_x
_atom_site_fract_y
_atom_site_fract_z
_atom_site_occupancy
Cl1 Cl 0.500 0.500 0.500 1
I1 I 0.000 0.000 0.500 1
N1 N 0.500 0.000 0.000 1
Au1 Au 0.000 0.000 0.000 1
N2 N 0.000 0.500 0.000 1
```

=====

6.
DFT (meta-GGA SCAN) results for a crystal of InAuCl3 relaxed with PBEsol.

- SG = Pm-3m, No. 221
- energy relative to the elements, uncorrected (kJ per mole of atoms) = -28.5
- E (eV/cell) = -128.0

Geometry as CIF:
```
data_InAuCl3
_cell_length_a 5.026
_cell_length_b 5.026
_cell_length_c 5.026
_cell_angle_alpha 90.00
_cell_angle_beta 90.00
_cell_angle_gamma 90.00
_symmetry_space_group_name_H-M 'P 1'
_symmetry_Int_Tables_number 1
loop_
_symmetry_equiv_pos_as_xyz
'x,y,z'
loop_
_atom_site_label
_atom_site_type_symbol
_atom_site_fract_x
_atom_site_fract_y
_atom_site_fract_z
_atom_site_occupancy
In1 In 0.000 0.000 0.000 1
Cl1 Cl 0.000 0.000 0.500 1
Cl2 Cl 0.000 0.500 0.000 1
Au1 Au 0.500 0.500 0.500 1
Cl3 Cl 0.500 0.000 0.000 1
```

=====

7.
DFT (meta-GGA SCAN) results for a crystal of InAuCl relaxed with PBEsol.

- SG = I4mm, No. 107
- energy relative to the elements, uncorrected (kJ per mole of atoms) = -24.6
- E (eV/cell) = -111.3

Geometry as CIF:
```
data_InAuCl
_cell_length_a 3.383
_cell_length_b 3.383
_cell_length_c 6.022
_cell_angle_alpha 106.31
_cell_angle_beta 106.31
_cell_angle_gamma 90.00
_symmetry_space_group_name_H-M 'P 1'
_symmetry_Int_Tables_number 1
loop_
_symmetry_equiv_pos_as_xyz
'x,y,z'
loop_
_atom_site_label
_atom_site_type_symbol
_atom_site_fract_x
_atom_site_fract_y
_atom_site_fract_z
_atom_site_occupancy
Au1 Au 0.980 0.980 0.960 1
Cl1 Cl 0.672 0.672 0.344 1
In1 In 0.348 0.348 0.695 1
```

=====

8.
DFT (meta-GGA SCAN) results for a crystal of InAu2Cl relaxed with PBEsol.

- SG = C2/m, No. 12
- energy relative to the elements, uncorrected (kJ per mole of atoms) = -13.6
- E (eV/cell) = -180.2

Geometry as CIF:
```
data_InAu2Cl
_cell_length_a 3.564
_cell_length_b 4.268
_cell_length_c 6.006
_cell_angle_alpha 110.86
_cell_angle_beta 107.32
_cell_angle_gamma 89.84
_symmetry_space_group_name_H-M 'P 1'
_symmetry_Int_Tables_number 1
loop_
_symmetry_equiv_pos_as_xyz
'x,y,z'
loop_
_atom_site_label
_atom_site_type_symbol
_atom_site_fract_x
_atom_site_fract_y
_atom_site_fract_z
_atom_site_occupancy
Au1 Au 0.500 0.000 0.500 1
In1 In 0.500 0.500 0.000 1
Cl1 Cl 0.000 0.000 0.000 1
Au2 Au 0.000 0.500 0.500 1
```

=====

9.
DFT (meta-GGA SCAN) results for a crystal of InAuCl relaxed with PBEsol.

- SG = F-43m, No. 216
- energy relative to the elements, uncorrected (kJ per mole of atoms) = 25.6
- E (eV/cell) = -109.7

Geometry as CIF:
```
data_InAuCl
_cell_length_a 4.756
_cell_length_b 4.756
_cell_length_c 4.756
_cell_angle_alpha 60.00
_cell_angle_beta 60.00
_cell_angle_gamma 60.00
_symmetry_space_group_name_H-M 'P 1'
_symmetry_Int_Tables_number 1
loop_
_symmetry_equiv_pos_as_xyz
'x,y,z'
loop_
_atom_site_label
_atom_site_type_symbol
_atom_site_fract_x
_atom_site_fract_y
_atom_site_fract_z
_atom_site_occupancy
Cl1 Cl 0.750 0.750 0.750 1
In1 In 0.000 0.000 0.000 1
Au1 Au 0.500 0.500 0.500 1
```

=====

10.
DFT (meta-GGA SCAN) results for a crystal of InAu2Cl relaxed with PBEsol.

- SG = F-43m, No. 216
- energy relative to the elements, uncorrected (kJ per mole of atoms) = 9.1
- E (eV/cell) = -179.3

Geometry as CIF:
```
data_InAu2Cl
_cell_length_a 4.825
_cell_length_b 4.825
_cell_length_c 4.825
_cell_angle_alpha 60.00
_cell_angle_beta 60.00
_cell_angle_gamma 60.00
_symmetry_space_group_name_H-M 'P 1'
_symmetry_Int_Tables_number 1
loop_
_symmetry_equiv_pos_as_xyz
'x,y,z'
loop_
_atom_site_label
_atom_site_type_symbol
_atom_site_fract_x
_atom_site_fract_y
_atom_site_fract_z
_atom_site_occupancy
Au1 Au 0.250 0.250 0.250 1
In1 In 0.750 0.750 0.750 1
Cl1 Cl 0.500 0.500 0.500 1
Au2 Au 0.000 0.000 0.000 1
```

=====

11.
DFT (meta-GGA SCAN) results for a crystal of InPAuCl2 relaxed with PBEsol.

- SG = P4/mmm, No. 123
- energy relative to the elements, uncorrected (kJ per mole of atoms) = 4.1
- E (eV/cell) = -128.7

Geometry as CIF:
```
data_InPAuCl2
_cell_length_a 4.735
_cell_length_b 5.110
_cell_length_c 5.110
_cell_angle_alpha 90.00
_cell_angle_beta 90.00
_cell_angle_gamma 90.00
_symmetry_space_group_name_H-M 'P 1'
_symmetry_Int_Tables_number 1
loop_
_symmetry_equiv_pos_as_xyz
'x,y,z'
loop_
_atom_site_label
_atom_site_type_symbol
_atom_site_fract_x
_atom_site_fract_y
_atom_site_fract_z
_atom_site_occupancy
P1 P 0.500 0.000 0.000 1
In1 In 0.500 0.500 0.500 1
Au1 Au 0.000 0.000 0.000 1
Cl1 Cl 0.000 0.000 0.500 1
Cl2 Cl 0.000 0.500 0.000 1
```

=====

12.
DFT (meta-GGA SCAN) results for a crystal of IrAuCl2 relaxed with PBEsol.

- SG = Pmmm, No. 47
- energy relative to the elements, uncorrected (kJ per mole of atoms) = 74.7
- E (eV/cell) = -153.1

Geometry as CIF:
```
data_IrAuCl2
_cell_length_a 2.917
_cell_length_b 4.170
_cell_length_c 5.508
_cell_angle_alpha 90.00
_cell_angle_beta 90.00
_cell_angle_gamma 90.00
_symmetry_space_group_name_H-M 'P 1'
_symmetry_Int_Tables_number 1
loop_
_symmetry_equiv_pos_as_xyz
'x,y,z'
loop_
_atom_site_label
_atom_site_type_symbol
_atom_site_fract_x
_atom_site_fract_y
_atom_site_fract_z
_atom_site_occupancy
Ir1 Ir 0.500 0.500 0.000 1
Cl1 Cl 0.500 0.000 0.500 1
Cl2 Cl 0.000 0.000 0.000 1
Au1 Au 0.000 0.500 0.500 1
```

=====

Q: Among the records above, which one has the lowest energy relative to the elements, uncorrected?
A: InAuCl3

=====

Q: Which of these has the lowest E?
A: HgAu2SCl